Material: NaLaReTc
Method: DFT, PBE
State: relaxed

Cell: 4.7762 4.7762 4.7762 Å, 60.00 60.00 60.00°
Element x y z (fractional)
Na1 0.0000 0.0000 0.0000
La1 0.2500 0.2500 0.2500
Re1 0.5000 0.5000 0.5000
Tc1 0.7500 0.7500 0.7500

Values from the calculation:
Total DFT energy (no corrections) in eV/atom: -6.477
Calculated volume in Å³ per cell: 77.04
Space group: F-43m

Material: NaLaReTc
Method: DFT, PBE
State: relaxed

Cell: 4.7786 4.7786 4.7786 Å, 60.00 60.00 60.00°
Element x y z (fractional)
Na1 0.0000 0.0000 0.0000
La1 0.7500 0.7500 0.7500
Re1 0.2500 0.2500 0.2500
Tc1 0.5000 0.5000 0.5000

Values from the calculation:
Total DFT energy (no corrections) in eV/atom: -6.440
Calculated volume in Å³ per cell: 77.16
Space group: F-43m

Material: NaLaZnS3
Method: DFT, PBE
State: relaxed

Cell: 6.6934 6.6934 11.2050 Å, 90.00 90.00 144.58°
Element x y z (fractional)
Na1 0.2484 0.7516 0.7500
Na2 0.7516 0.2484 0.2500
La1 0.0000 0.0000 0.0000
La2 0.0000 0.0000 0.5000
Zn1 0.4656 0.5344 0.2500
Zn2 0.5344 0.4656 0.7500
S1 0.0752 0.9248 0.2500
S2 0.3606 0.6394 0.0822
S3 0.3606 0.6394 0.4178
S4 0.6394 0.3606 0.5822
S5 0.6394 0.3606 0.9178
S6 0.9248 0.0752 0.7500

Values from the calculation:
Total DFT energy (no corrections) in eV/atom: -4.750
Calculated volume in Å³ per cell: 290.96
Space group: Cmcm

Material: NaLaZnS3
Method: DFT, PBE
State: relaxed

Cell: 7.8039 4.0487 9.7044 Å, 90.00 101.76 90.00°
Element x y z (fractional)
Na1 0.2501 0.2500 0.2345
Na2 0.7499 0.7500 0.7655
La1 0.2062 0.7500 0.6319
La2 0.7938 0.2500 0.3681
Zn1 0.4267 0.2500 0.8971
Zn2 0.5733 0.7500 0.1029
S1 0.0435 0.7500 0.3418
S2 0.2844 0.7500 0.9539
S3 0.4698 0.2500 0.6683
S4 0.5302 0.7500 0.3317
S5 0.7156 0.2500 0.0461
S6 0.9565 0.2500 0.6582

Values from the calculation:
Total DFT energy (no corrections) in eV/atom: -4.731
Calculated volume in Å³ per cell: 300.18
Space group: P2_1/m